LiTb2ErCd4: relaxed, GGA-PBE.

The structure in POSCAR format:
```
LiTb2ErCd4
1.0
-0.5817 -3.1890 4.0686
1.8380 -4.8615 -0.2220
7.8304 -0.0248 4.4257
Li Tb Er Cd
1 2 1 4
direct
0.5000 0.5000 0.5000
0.7509 0.7509 0.7472
0.2491 0.2491 0.2528
0.0000 0.0000 0.0000
0.3783 0.3783 0.8652
0.8736 0.8736 0.3792
0.1264 0.1264 0.6208
0.6217 0.6217 0.1348
```

Results
The value obtained for the formation energy is -0.29 eV per atom. As for the space group: R-3m. Its density of states at the Fermi level is 0.96 states/eV per atom.